[1]
## KLiPt2 (PBE-GGA)

Data for a geometry-optimized KLiPt2 structure.

Cell lengths 3.963, 3.963, 4.714 Å; angles 90.00, 90.00, 90.00 degrees
Atoms (fractional coordinates):
K 0.000 0.000 0.000
Li 0.500 0.500 0.000
Pt 0.000 0.500 0.500
Pt 0.500 0.000 0.500

Values from the calculation:
**Formation energy from the elements**: 24.9 meV/atom
**Symmetry**: No. 123
**Offset from the most stable computed form**: 0.194 eV per atom

---

[2]
## K2LiPt (PBE-GGA)

Data for a geometry-optimized K2LiPt structure.

Cell lengths 3.418, 3.418, 10.895 Å; angles 90.00, 90.00, 90.00 degrees
Atoms (fractional coordinates):
K 0.000 0.000 0.194
K 0.000 0.000 0.806
Li 0.500 0.500 0.500
Pt 0.500 0.500 0.000

Values from the calculation:
**Formation energy from the elements**: 221.9 meV/atom
**Symmetry**: No. 123
**Offset from the most stable computed form**: 0.333 eV per atom

---

[3]
## K2LiPt (PBE-GGA)

Data for a geometry-optimized K2LiPt structure.

Cell lengths 5.500, 5.500, 5.500 Å; angles 60.00, 60.00, 60.00 degrees
Atoms (fractional coordinates):
K 0.250 0.250 0.250
K 0.750 0.750 0.750
Li 0.000 0.000 0.000
Pt 0.500 0.500 0.500

Values from the calculation:
**Formation energy from the elements**: 191.8 meV/atom
**Symmetry**: No. 225
**Offset from the most stable computed form**: 0.303 eV per atom

---

[4]
## KLiPt2 (PBE-GGA)

Data for a geometry-optimized KLiPt2 structure.

Cell lengths 2.822, 2.822, 8.793 Å; angles 90.00, 90.00, 90.00 degrees
Atoms (fractional coordinates):
K 0.000 0.000 0.000
Li 0.000 0.000 0.500
Pt 0.500 0.500 0.295
Pt 0.500 0.500 0.705

Values from the calculation:
**Formation energy from the elements**: -146.9 meV/atom
**Symmetry**: No. 123
**Offset from the most stable computed form**: 0.022 eV per atom

---

[5]
## KLiPt2 (PBE-GGA)

Data for a geometry-optimized KLiPt2 structure.

Cell lengths 5.170, 5.170, 6.052 Å; angles 110.65, 110.65, 32.92 degrees
Atoms (fractional coordinates):
K 0.000 0.000 0.000
Li 0.812 0.812 0.283
Pt 0.244 0.244 0.558
Pt 0.516 0.516 0.539

Values from the calculation:
**Formation energy from the elements**: -162.9 meV/atom
**Symmetry**: No. 8
**Offset from the most stable computed form**: 0.006 eV per atom

---

[6]
## K2LiPt (PBE-GGA)

Data for a geometry-optimized K2LiPt structure.

Cell lengths 11.471, 11.471, 11.471 Å; angles 156.79, 156.79, 33.06 degrees
Atoms (fractional coordinates):
K 0.113 0.625 0.988
K 0.375 0.363 0.488
K 0.637 0.125 0.012
K 0.875 0.887 0.512
Li 0.250 0.750 0.500
Li 0.500 0.500 0.000
Pt 0.000 0.000 0.000
Pt 0.750 0.250 0.500

Values from the calculation:
**Formation energy from the elements**: 344.5 meV/atom
**Symmetry**: No. 122
**Offset from the most stable computed form**: 0.456 eV per atom

---

[7]
## K2LiPt (PBE-GGA)

Data for a geometry-optimized K2LiPt structure.

Cell lengths 5.861, 5.861, 5.861 Å; angles 130.83, 130.67, 72.21 degrees
Atoms (fractional coordinates):
K 0.250 0.250 0.000
K 0.750 0.750 0.000
Li 0.500 0.000 0.500
Pt 0.000 0.500 0.500

Values from the calculation:
**Formation energy from the elements**: 173.1 meV/atom
**Symmetry**: No. 71
**Offset from the most stable computed form**: 0.284 eV per atom

---

[8]
## KLiPt2 (PBE-GGA)

Data for a geometry-optimized KLiPt2 structure.

Cell lengths 5.493, 5.493, 2.798 Å; angles 90.00, 90.00, 118.99 degrees
Atoms (fractional coordinates):
K 0.000 0.000 0.000
Li 0.500 0.500 0.000
Pt 0.000 0.500 0.500
Pt 0.500 0.000 0.500

Values from the calculation:
**Formation energy from the elements**: -1.9 meV/atom
**Symmetry**: No. 65
**Offset from the most stable computed form**: 0.167 eV per atom

---

[9]
## K2LiPt (PBE-GGA)

Data for a geometry-optimized K2LiPt structure.

Cell lengths 3.234, 4.024, 9.599 Å; angles 90.00, 99.54, 90.00 degrees
Atoms (fractional coordinates):
K 0.000 0.000 0.000
K 0.289 0.500 0.569
Li 0.148 0.500 0.268
Pt 0.669 0.000 0.316

Values from the calculation:
**Formation energy from the elements**: -48.7 meV/atom
**Symmetry**: No. 6
**Offset from the most stable computed form**: 0.062 eV per atom

---

[10]
## KLi2Pt2 (PBE-GGA)

Data for a geometry-optimized KLi2Pt2 structure.

Cell lengths 8.120, 8.120, 2.721 Å; angles 90.00, 90.00, 90.00 degrees
Atoms (fractional coordinates):
K 0.000 0.000 0.000
K 0.500 0.500 0.000
Li 0.125 0.375 0.000
Li 0.375 0.875 0.000
Li 0.625 0.125 0.000
Li 0.875 0.625 0.000
Pt 0.162 0.662 0.500
Pt 0.338 0.162 0.500
Pt 0.662 0.838 0.500
Pt 0.838 0.338 0.500

Values from the calculation:
**Formation energy from the elements**: -311.1 meV/atom
**Symmetry**: No. 127
**Offset from the most stable computed form**: 0.000 eV per atom

---

[11]
## KLiPt4 (PBE-GGA)

Data for a geometry-optimized KLiPt4 structure.

Cell lengths 5.406, 5.406, 5.406 Å; angles 60.00, 60.00, 60.00 degrees
Atoms (fractional coordinates):
K 0.000 0.000 0.000
Li 0.250 0.250 0.250
Pt 0.126 0.625 0.625
Pt 0.625 0.126 0.625
Pt 0.625 0.625 0.126
Pt 0.625 0.625 0.625

Values from the calculation:
**Formation energy from the elements**: -291.1 meV/atom
**Symmetry**: No. 216

---

[12]
## KLiPt2 (PBE-GGA)

Data for a geometry-optimized KLiPt2 structure.

Cell lengths 9.721, 9.721, 9.721 Å; angles 16.95, 16.95, 16.95 degrees
Atoms (fractional coordinates):
K 0.000 0.000 0.000
Li 0.500 0.500 0.500
Pt 0.239 0.239 0.239
Pt 0.761 0.761 0.761

Values from the calculation:
**Formation energy from the elements**: -168.9 meV/atom
**Symmetry**: No. 166
**Offset from the most stable computed form**: 0.000 eV per atom

---

[13]
## K2LiPt (PBE-GGA)

Data for a geometry-optimized K2LiPt structure.

Cell lengths 4.794, 4.794, 4.902 Å; angles 90.00, 90.00, 93.01 degrees
Atoms (fractional coordinates):
K 0.000 0.500 0.000
K 0.500 0.000 0.000
Li 0.000 0.000 0.500
Pt 0.500 0.500 0.500

Values from the calculation:
**Formation energy from the elements**: 189.3 meV/atom
**Symmetry**: No. 65
**Offset from the most stable computed form**: 0.300 eV per atom

---

[14]
## KLiPt2 (PBE-GGA)

Data for a geometry-optimized KLiPt2 structure.

Cell lengths 4.747, 4.747, 4.747 Å; angles 60.00, 60.00, 60.00 degrees
Atoms (fractional coordinates):
K 0.000 0.000 0.000
Li 0.500 0.500 0.500
Pt 0.250 0.250 0.250
Pt 0.750 0.750 0.750

Values from the calculation:
**Formation energy from the elements**: 354.9 meV/atom
**Symmetry**: No. 225
**Offset from the most stable computed form**: 0.524 eV per atom

---

[15]
## KLiPt2 (PBE-GGA)

Data for a geometry-optimized KLiPt2 structure.

Cell lengths 5.757, 5.757, 4.950 Å; angles 115.27, 115.27, 28.44 degrees
Atoms (fractional coordinates):
K 0.000 0.000 0.000
Li 0.500 0.500 0.500
Pt 0.226 0.226 0.725
Pt 0.774 0.774 0.275

Values from the calculation:
**Formation energy from the elements**: -96.8 meV/atom
**Symmetry**: No. 12
**Offset from the most stable computed form**: 0.072 eV per atom

---

[16]
## KLiPt2 (PBE-GGA)

Data for a geometry-optimized KLiPt2 structure.

Cell lengths 2.836, 4.506, 7.445 Å; angles 90.00, 90.08, 90.00 degrees
Atoms (fractional coordinates):
K 0.000 0.000 0.000
Li 0.497 0.500 0.388
Pt 0.497 0.000 0.615
Pt 0.997 0.500 0.661

Values from the calculation:
**Formation energy from the elements**: -135.2 meV/atom
**Symmetry**: No. 6
**Offset from the most stable computed form**: 0.034 eV per atom

---

[17]
## K2LiPt (PBE-GGA)

Data for a geometry-optimized K2LiPt structure.

Cell lengths 11.744, 11.744, 11.744 Å; angles 16.82, 16.82, 16.82 degrees
Atoms (fractional coordinates):
K 0.237 0.237 0.237
K 0.763 0.763 0.763
Li 0.000 0.000 0.000
Pt 0.500 0.500 0.500

Values from the calculation:
**Formation energy from the elements**: 353.7 meV/atom
**Symmetry**: No. 166
**Offset from the most stable computed form**: 0.465 eV per atom

---

[18]
## KLiPt2 (PBE-GGA)

Data for a geometry-optimized KLiPt2 structure.

Cell lengths 6.327, 6.327, 6.327 Å; angles 154.74, 129.15, 57.61 degrees
Atoms (fractional coordinates):
K 0.000 0.000 0.000
Li 0.302 0.802 0.500
Pt 0.515 0.515 0.000
Pt 0.720 0.220 0.500

Values from the calculation:
**Formation energy from the elements**: -10.7 meV/atom
**Symmetry**: No. 44
**Offset from the most stable computed form**: 0.158 eV per atom

---

[19]
## K2LiPt2 (PBE-GGA)

Data for a geometry-optimized K2LiPt2 structure.

Cell lengths 6.737, 6.737, 5.295 Å; angles 90.00, 90.00, 90.00 degrees
Atoms (fractional coordinates):
K 0.172 0.328 0.000
K 0.328 0.828 0.000
K 0.672 0.172 0.000
K 0.828 0.672 0.000
Li 0.000 0.000 0.500
Li 0.500 0.500 0.500
Pt 0.135 0.635 0.500
Pt 0.365 0.135 0.500
Pt 0.635 0.865 0.500
Pt 0.865 0.365 0.500

Values from the calculation:
**Formation energy from the elements**: -10.0 meV/atom
**Symmetry**: No. 127

---

[20]
## K3LiPt (PBE-GGA)

Data for a geometry-optimized K3LiPt structure.

Cell lengths 6.273, 6.273, 6.273 Å; angles 90.00, 90.00, 90.00 degrees
Atoms (fractional coordinates):
K 0.000 0.000 0.500
K 0.000 0.500 0.000
K 0.500 0.000 0.000
Li 0.500 0.500 0.500
Pt 0.000 0.000 0.000

Values from the calculation:
**Formation energy from the elements**: 144.1 meV/atom
**Symmetry**: No. 221
**Offset from the most stable computed form**: 0.000 eV per atom

---

[21]
## K2LiPt (PBE-GGA)

Data for a geometry-optimized K2LiPt structure.

Cell lengths 5.342, 5.342, 5.342 Å; angles 120.32, 120.32, 89.45 degrees
Atoms (fractional coordinates):
K 0.000 0.000 0.000
K 0.750 0.250 0.500
Li 0.250 0.750 0.500
Pt 0.500 0.500 0.000

Values from the calculation:
**Formation energy from the elements**: 103.5 meV/atom
**Symmetry**: No. 119
**Offset from the most stable computed form**: 0.215 eV per atom

---

[22]
## KLiPt2 (PBE-GGA)

Data for a geometry-optimized KLiPt2 structure.

Cell lengths 4.739, 4.739, 4.739 Å; angles 60.00, 60.00, 60.00 degrees
Atoms (fractional coordinates):
K 0.000 0.000 0.000
Li 0.750 0.750 0.750
Pt 0.250 0.250 0.250
Pt 0.500 0.500 0.500

Values from the calculation:
**Formation energy from the elements**: 152.4 meV/atom
**Symmetry**: No. 216
**Offset from the most stable computed form**: 0.321 eV per atom

---

[23]
## KLiPt2 (PBE-GGA)

Data for a geometry-optimized KLiPt2 structure.

Cell lengths 2.724, 4.344, 7.084 Å; angles 90.00, 100.89, 90.00 degrees
Atoms (fractional coordinates):
K 0.000 0.000 0.000
Li 0.500 0.000 0.500
Pt 0.317 0.500 0.667
Pt 0.683 0.500 0.333

Values from the calculation:
**Formation energy from the elements**: -129.5 meV/atom
**Symmetry**: No. 10
**Offset from the most stable computed form**: 0.039 eV per atom

---

[24]
## K2LiPt (PBE-GGA)

Data for a geometry-optimized K2LiPt structure.

Cell lengths 4.401, 4.401, 8.994 Å; angles 102.94, 102.94, 59.93 degrees
Atoms (fractional coordinates):
K 0.000 0.000 0.000
K 0.157 0.157 0.516
Li 0.412 0.412 0.258
Pt 0.745 0.745 0.258

Values from the calculation:
**Formation energy from the elements**: -111.1 meV/atom
**Symmetry**: No. 8
**Offset from the most stable computed form**: 0.000 eV per atom

---

[25]
## K2LiPt (PBE-GGA)

Data for a geometry-optimized K2LiPt structure.

Cell lengths 3.261, 3.969, 9.561 Å; angles 90.00, 90.00, 90.00 degrees
Atoms (fractional coordinates):
K 0.000 0.000 0.000
K 0.500 0.500 0.427
Li 0.000 0.000 0.697
Pt 0.500 0.500 0.758

Values from the calculation:
**Formation energy from the elements**: -44.6 meV/atom
**Symmetry**: No. 25
**Offset from the most stable computed form**: 0.067 eV per atom

---

[26]
## KLiPt2 (PBE-GGA)

Data for a geometry-optimized KLiPt2 structure.

Cell lengths 5.487, 5.487, 5.487 Å; angles 137.60, 137.60, 61.51 degrees
Atoms (fractional coordinates):
K 0.000 0.000 0.000
Li 0.500 0.500 0.000
Pt 0.250 0.750 0.500
Pt 0.750 0.250 0.500

Values from the calculation:
**Formation energy from the elements**: 27.1 meV/atom
**Symmetry**: No. 139
**Offset from the most stable computed form**: 0.196 eV per atom

---

[27]
## KLiPt2 (PBE-GGA)

Data for a geometry-optimized KLiPt2 structure.

Cell lengths 2.822, 2.822, 9.558 Å; angles 90.00, 90.00, 115.33 degrees
Atoms (fractional coordinates):
K 0.000 0.000 0.000
Li 0.000 0.000 0.500
Pt 0.500 0.500 0.283
Pt 0.500 0.500 0.717

Values from the calculation:
**Formation energy from the elements**: -113.7 meV/atom
**Symmetry**: No. 65
**Offset from the most stable computed form**: 0.055 eV per atom

---

[28]
## K2Li2Pt (PBE-GGA)

Data for a geometry-optimized K2Li2Pt structure.

Cell lengths 6.993, 6.993, 5.640 Å; angles 90.00, 90.00, 90.00 degrees
Atoms (fractional coordinates):
K 0.197 0.303 0.000
K 0.303 0.803 0.000
K 0.697 0.197 0.000
K 0.803 0.697 0.000
Li 0.167 0.667 0.500
Li 0.333 0.167 0.500
Li 0.667 0.833 0.500
Li 0.833 0.333 0.500
Pt 0.000 0.000 0.500
Pt 0.500 0.500 0.500

Values from the calculation:
**Formation energy from the elements**: -14.1 meV/atom
**Symmetry**: No. 127

---

[29]
## KLiPt2 (PBE-GGA)

Data for a geometry-optimized KLiPt2 structure.

Cell lengths 9.469, 9.469, 9.469 Å; angles 150.08, 150.08, 42.83 degrees
Atoms (fractional coordinates):
K 0.000 0.000 0.000
K 0.750 0.250 0.500
Li 0.250 0.750 0.500
Li 0.500 0.500 0.000
Pt 0.317 0.125 0.692
Pt 0.375 0.683 0.808
Pt 0.433 0.625 0.308
Pt 0.875 0.567 0.192

Values from the calculation:
**Formation energy from the elements**: -30.0 meV/atom
**Symmetry**: No. 122
**Offset from the most stable computed form**: 0.139 eV per atom